Material: ScWSe2
Method: DFT, PBE
State: relaxed

a = 9.255 Å, b = 3.281 Å, c = 4.869 Å
α = 90.00°, β = 104.03°, γ = 90.00°
Atoms (fractional coordinates):
1 Sc 0.000 0.000 0.000
2 Sc 0.500 0.500 0.000
3 W 0.259 0.500 0.400
4 W 0.759 0.000 0.400
5 Se 0.259 0.000 0.840
6 Se 0.483 0.000 0.480
7 Se 0.759 0.500 0.840
8 Se 0.983 0.500 0.480

Mass density ... 8.95 g/cm³
Formation energy (no corrections) ... -434 meV per atom
M_tot ... 0.00 μB/atom